Material: Sm7Ho12Tm
Method: DFT, PBE
State: optimized geometry

Results
distance to the lowest polymorph of the same formula	439	meV/atom
raw total energy	-78.9	eV per cell
crystal system	cubic
energy relative to the elements	0.675	eV/atom
space-group type	Im-3m

abc: 9.730 9.730 9.730
angles: 109.47 109.47 109.47
Atoms (fractional coordinates):
1 Sm 0.000 0.000 0.500
2 Sm 0.000 0.500 0.000
3 Sm 0.000 0.500 0.500
4 Sm 0.500 0.000 0.000
5 Sm 0.500 0.000 0.500
6 Sm 0.500 0.500 0.000
7 Sm 0.500 0.500 0.500
8 Ho 0.000 0.246 0.754
9 Ho 0.000 0.754 0.246
10 Ho 0.246 0.000 0.754
11 Ho 0.246 0.246 0.492
12 Ho 0.246 0.492 0.246
13 Ho 0.246 0.754 0.000
14 Ho 0.492 0.246 0.246
15 Ho 0.508 0.754 0.754
16 Ho 0.754 0.000 0.246
17 Ho 0.754 0.246 0.000
18 Ho 0.754 0.508 0.754
19 Ho 0.754 0.754 0.508
20 Tm 0.000 0.000 0.000